First-principles (PBE) data for a relaxed InTcSe2 crystal, as listed in the Alexandria database.

POSCAR file:
```
InTcSe2
1.0
-1.8988 2.8021 -1.8258
-4.3452 -4.3999 -2.2338
-2.1413 0.5531 3.0757
Se In Tc
2 1 1
Cartesian
0.0000 0.0000 0.0000
-3.1220 -0.7989 -2.0298
-3.2432 -1.9234 0.4209
-2.0200 1.6776 0.6249
```

Calculated values
Density of states at the Fermi level ... 0.48 states/eV/atom
Formation energy without anion corrections ... 435.2 meV per atom
Energy ... -4.58 eV per atom
Space-group type ... Pmmm

First-principles (PBE) data for a relaxed InTcSe crystal, as listed in the Alexandria database.

POSCAR file:
```
InTcSe
1.0
8.2510 0.0167 -0.0107
7.4488 2.9031 -0.0174
0.8023 -1.2147 2.6184
Se In Tc
1 1 1
Cartesian
5.2708 0.0255 1.8246
1.1138 -1.1282 2.5631
10.9198 1.5932 0.8211
```

Calculated values
Density of states at the Fermi level ... 0.81 states/eV/atom
Formation energy without anion corrections ... 351.7 meV per atom
Energy ... -5.18 eV per atom
Space-group type ... Fmm2
Energy above the lowest structure with this stoichiometry ... 376 meV/atom

First-principles (PBE) data for a relaxed InTcSe2 crystal, as listed in the Alexandria database.

POSCAR file:
```
InTcSe2
1.0
5.2539 0.0347 0.0000
1.8949 4.9005 0.0000
-3.5744 -2.4676 2.9563
Se Tc In
2 1 1
Cartesian
0.0000 0.0000 0.0000
0.9474 2.4502 1.4782
3.5744 2.4676 0.0000
2.6270 0.0173 1.4782
```

Calculated values
Density of states at the Fermi level ... 1.11 states/eV/atom
Formation energy without anion corrections ... 557.8 meV per atom
Energy ... -4.46 eV per atom
Space-group type ... I-4m2

First-principles (PBE) data for a relaxed InTcSe2 crystal, as listed in the Alexandria database.

POSCAR file:
```
InTcSe2
1.0
-2.0270 -0.9477 -4.2876
-3.5571 -2.4170 2.2125
-1.7427 2.7604 0.2137
Se Tc In
2 1 1
Cartesian
0.0000 0.0000 0.0000
-2.7920 -1.6824 -1.0375
-1.8848 0.9063 -2.0369
-2.6499 0.1717 1.2131
```

Calculated values
Density of states at the Fermi level ... 0.84 states/eV/atom
Formation energy without anion corrections ... 416.6 meV per atom
Energy ... -4.60 eV per atom
Space-group type ... P4/mmm

First-principles (PBE) data for a relaxed InTcSe2 crystal, as listed in the Alexandria database.

POSCAR file:
```
InTcSe2
1.0
-5.2369 -7.5042 -1.8052
-5.4328 -7.4390 1.4643
-7.4558 -5.5944 -0.3350
Se In Tc
2 1 1
Cartesian
-17.7544 -20.1170 -0.6621
-9.4339 -10.6893 -0.3518
-13.5941 -15.4032 -0.5070
-4.5314 -5.1344 -0.1690
```

Calculated values
Density of states at the Fermi level ... 0.91 states/eV/atom
Formation energy without anion corrections ... -128.7 meV per atom
Energy ... -5.15 eV per atom
Space-group type ... R-3m

First-principles (PBE) data for a relaxed InTcSe2 crystal, as listed in the Alexandria database.

POSCAR file:
```
InTcSe2
1.0
-6.2821 0.5093 3.5480
-3.5788 -1.2893 -6.1516
-4.8182 -4.3881 -0.5292
Se Tc In
4 2 2
Cartesian
-11.9317 -3.8618 -2.1417
-5.0336 -0.9840 1.0087
-7.6217 -3.6953 -1.9065
-4.7712 -1.7950 -3.2260
-4.9305 -0.3900 -1.3018
-6.6637 -3.0337 -3.9913
0.0000 0.0000 0.0000
-8.0154 -2.1344 0.8585
```

Calculated values
Density of states at the Fermi level ... 0.80 states/eV/atom
Formation energy without anion corrections ... -3.9 meV per atom
Energy ... -5.02 eV per atom
Space-group type ... I-42d

First-principles (PBE) data for a relaxed In2Tc2Se crystal, as listed in the Alexandria database.

POSCAR file:
```
In2Tc2Se
1.0
6.5501 0.0000 0.0000
0.0000 6.5501 0.0000
0.0000 0.0000 4.3583
In Tc Se
4 4 2
Cartesian
5.5085 2.2335 2.1792
4.3166 5.5085 2.1792
1.0415 4.3166 2.1792
2.2335 1.0415 2.1792
4.2593 0.9843 0.0000
2.2907 5.5658 0.0000
5.5658 4.2593 0.0000
0.9843 2.2907 0.0000
0.0000 0.0000 0.0000
3.2750 3.2750 0.0000
```

Calculated values
Density of states at the Fermi level ... 0.73 states/eV/atom
Formation energy without anion corrections ... 262.8 meV per atom
Energy ... -5.68 eV per atom
Space-group type ... P4/mbm

First-principles (PBE) data for a relaxed InTcSe crystal, as listed in the Alexandria database.

POSCAR file:
```
InTcSe
1.0
4.4769 0.0000 0.0000
2.2385 3.8771 0.0000
2.2385 1.2924 3.6554
Se In Tc
1 1 1
Cartesian
4.4769 2.5847 1.8277
0.0000 0.0000 0.0000
6.7154 3.8771 2.7415
```

Calculated values
Density of states at the Fermi level ... 1.14 states/eV/atom
Formation energy without anion corrections ... 451.1 meV per atom
Energy ... -5.08 eV per atom
Space-group type ... F-43m
Energy above the lowest structure with this stoichiometry ... 476 meV/atom